## FeSi (PBE)

Data for a geometry-optimized FeSi structure.

Output
density = 3320 kg/m3
N(E_F) = 4.12 states/eV per cell
magnetic moment = 1.320 μB/f.u.
uncorrected formation energy = 70 kJ/mol of atoms
calculated total energy = -6.221 eV per atom

a = 6.315 Å, b = 6.315 Å, c = 6.315 Å
α = 90.00°, β = 90.00°, γ = 90.00°
Each line ends with the local moment (μB).
Fractional coordinates of all 12 atoms:
Si (0.250, 0.000, 0.500)  -0.09
Si (0.500, 0.750, 0.000)  -0.09
Si (0.000, 0.500, 0.750)  -0.09
Si (0.750, 0.000, 0.500)  -0.09
Si (0.000, 0.500, 0.250)  -0.09
Si (0.500, 0.250, 0.000)  -0.09
Fe (0.000, 0.250, 0.500)  1.45
Fe (0.500, 0.000, 0.750)  1.45
Fe (0.000, 0.750, 0.500)  1.45
Fe (0.500, 0.000, 0.250)  1.45
Fe (0.250, 0.500, 0.000)  1.45
Fe (0.750, 0.500, 0.000)  1.45

## LaNbCr (PBE)

Data for a geometry-optimized LaNbCr structure.

Output
density = 7351 kg/m3
N(E_F) = 7.99 states/eV per cell
offset from the most stable computed form = 4.4 kJ per mole of atoms
magnetic moment = 0.000 μB/f.u.
formation enthalpy at 0 K = 412 meV per atom
calculated total energy = -7.794 eV per atom

a = 3.245 Å, b = 6.315 Å, c = 6.759 Å
α = 106.27°, β = 89.99°, γ = 104.68°
Fractional coordinates of all 6 atoms:
La (0.000, 0.495, 0.267)
La (0.000, 0.505, 0.733)
Cr (0.708, 0.916, 0.580)
Cr (0.292, 0.084, 0.420)
Nb (0.300, 0.099, 0.868)
Nb (0.700, 0.901, 0.132)

## Ba2TlHg6Sb (PBE)

Data for a geometry-optimized Ba2TlHg6Sb structure.

Output
density = 8880 kg/m3
N(E_F) = 9.84 states/eV per cell
magnetic moment = 0.000 μB/f.u.
uncorrected formation energy = -26 kJ/mol of atoms
calculated total energy = -1.485 eV per atom

a = 5.971 Å, b = 11.060 Å, c = 10.219 Å
α = 90.00°, β = 90.00°, γ = 90.00°
Fractional coordinates of all 20 atoms:
Hg (0.253, 0.517, 0.000)
Hg (0.749, 0.014, 0.000)
Hg (0.247, 0.483, 0.500)
Hg (0.500, 0.088, 0.251)
Hg (0.753, 0.483, 0.500)
Hg (0.000, 0.912, 0.751)
Hg (0.500, 0.088, 0.749)
Hg (0.249, 0.986, 0.500)
Hg (0.000, 0.912, 0.249)
Hg (0.251, 0.014, 0.000)
Hg (0.747, 0.517, 0.000)
Hg (0.751, 0.986, 0.500)
Sb (0.000, 0.719, 0.500)
Sb (0.500, 0.281, 0.000)
Ba (0.000, 0.265, 0.228)
Ba (0.000, 0.265, 0.772)
Ba (0.500, 0.735, 0.272)
Ba (0.500, 0.735, 0.728)
Tl (0.500, 0.252, 0.500)
Tl (0.000, 0.748, 0.000)

## CaNdPd (PBE)

Data for a geometry-optimized CaNdPd structure.

Output
density = 5412 kg/m3
N(E_F) = 5.94 states/eV per cell
offset from the most stable computed form = 7.7 kJ per mole of atoms
magnetic moment = 0.000 μB/f.u.
formation enthalpy at 0 K = -433 meV per atom
calculated total energy = -4.420 eV per atom

a = 4.905 Å, b = 5.776 Å, c = 6.523 Å
α = 105.07°, β = 90.01°, γ = 90.01°
Fractional coordinates of all 6 atoms:
Nd (0.752, 0.981, 0.826)
Nd (0.252, 0.027, 0.178)
Pd (0.252, 0.888, 0.585)
Pd (0.753, 0.120, 0.418)
Ca (0.252, 0.428, 0.713)
Ca (0.752, 0.579, 0.290)

## PrErTc (PBE)

Data for a geometry-optimized PrErTc structure.

Output
density = 8101 kg/m3
N(E_F) = 13.58 states/eV per cell
offset from the most stable computed form = 1.9 kJ per mole of atoms
magnetic moment = 0.000 μB/f.u.
formation enthalpy at 0 K = 65 meV per atom
calculated total energy = -6.504 eV per atom

a = 6.991 Å, b = 7.163 Å, c = 7.618 Å
α = 90.00°, β = 90.00°, γ = 119.21°
Fractional coordinates of all 12 atoms:
Pr (0.697, 0.395, 0.887)
Pr (0.303, 0.605, 0.113)
Pr (0.803, 0.605, 0.387)
Pr (0.197, 0.395, 0.613)
Er (0.210, 0.920, 0.750)
Er (0.710, 0.920, 0.750)
Er (0.790, 0.080, 0.250)
Er (0.290, 0.080, 0.250)
Tc (0.404, 0.808, 0.464)
Tc (0.096, 0.192, 0.964)
Tc (0.596, 0.192, 0.536)
Tc (0.904, 0.808, 0.036)

## CuRh2 (PBE)

Data for a geometry-optimized CuRh2 structure.

Output
density = 10911 kg/m3
N(E_F) = 19.22 states/eV per cell
offset from the most stable computed form = 4.9 kJ per mole of atoms
magnetic moment = 0.000 μB/f.u.
formation enthalpy at 0 K = 94 meV per atom
calculated total energy = -6.172 eV per atom

a = 5.378 Å, b = 3.775 Å, c = 8.077 Å
α = 90.00°, β = 90.00°, γ = 90.00°
Fractional coordinates of all 12 atoms:
Rh (0.130, 0.250, 0.255)
Rh (0.370, 0.750, 0.755)
Rh (0.630, 0.250, 0.245)
Rh (0.870, 0.750, 0.745)
Rh (0.124, 0.250, 0.584)
Rh (0.876, 0.750, 0.416)
Rh (0.624, 0.250, 0.916)
Rh (0.376, 0.750, 0.084)
Cu (0.117, 0.250, 0.920)
Cu (0.617, 0.250, 0.580)
Cu (0.883, 0.750, 0.080)
Cu (0.383, 0.750, 0.420)

## KCrRe (PBE)

Data for a geometry-optimized KCrRe structure.

Output
density = 5809 kg/m3
N(E_F) = 5.30 states/eV per cell
offset from the most stable computed form = 206.5 kJ per mole of atoms
magnetic moment = 6.932 μB/f.u.
formation enthalpy at 0 K = 3107 meV per atom
calculated total energy = -4.616 eV per atom

a = 4.822 Å, b = 4.822 Å, c = 4.822 Å
α = 60.00°, β = 60.00°, γ = 60.00°
Each line ends with the local moment (μB).
Fractional coordinates of all 3 atoms:
Cr (0.500, 0.500, 0.500)  3.85
K (0.750, 0.750, 0.750)  0.09
Re (0.000, 0.000, 0.000)  2.06

## Er5In2Ge2 (PBE)

Data for a geometry-optimized Er5In2Ge2 structure.

Output
density = 8653 kg/m3
N(E_F) = 12.22 states/eV per cell
magnetic moment = 0.000 μB/f.u.
formation enthalpy at 0 K = -605 meV per atom
calculated total energy = -4.775 eV per atom

a = 7.739 Å, b = 7.707 Å, c = 8.701 Å
α = 90.00°, β = 63.60°, γ = 90.00°
Fractional coordinates of all 18 atoms:
Ge (0.367, 0.865, 0.000)
Ge (0.133, 0.365, 0.000)
Ge (0.867, 0.635, 0.000)
Ge (0.633, 0.135, 0.000)
In (0.784, 0.000, 0.433)
In (0.284, 0.500, 0.433)
In (0.716, 0.500, 0.567)
In (0.216, 0.000, 0.567)
Er (0.049, 0.671, 0.251)
Er (0.200, 0.171, 0.251)
Er (0.300, 0.671, 0.749)
Er (0.451, 0.171, 0.749)
Er (0.800, 0.829, 0.749)
Er (0.000, 0.000, 0.000)
Er (0.500, 0.500, 0.000)
Er (0.951, 0.329, 0.749)
Er (0.549, 0.829, 0.251)
Er (0.700, 0.329, 0.251)

## BeOs2Rh (PBE)

Data for a geometry-optimized BeOs2Rh structure.

Output
density = 15354 kg/m3
N(E_F) = 4.73 states/eV per cell
magnetic moment = 0.008 μB/f.u.
formation enthalpy at 0 K = 283 meV per atom
calculated total energy = -8.102 eV per atom

a = 2.674 Å, b = 2.674 Å, c = 8.430 Å
α = 90.00°, β = 90.00°, γ = 117.91°
Fractional coordinates of all 4 atoms:
Be (0.500, 0.500, 0.745)
Os (0.000, 0.000, 0.976)
Os (0.500, 0.500, 0.249)
Rh (0.000, 0.000, 0.530)

## SrRhCl (PBE)

Data for a geometry-optimized SrRhCl structure.

Output
density = 5323 kg/m3
N(E_F) = 4.51 states/eV per cell
offset from the most stable computed form = 79.1 kJ per mole of atoms
magnetic moment = 0.364 μB/f.u.
uncorrected formation energy = -36 kJ/mol of atoms
calculated total energy = -4.003 eV per atom

a = 4.809 Å, b = 4.809 Å, c = 6.096 Å
α = 90.00°, β = 90.00°, γ = 90.00°
Each line ends with the local moment (μB).
Fractional coordinates of all 6 atoms:
Cl (0.000, 0.000, 0.500)  0.04
Cl (0.500, 0.500, 0.500)  0.04
Sr (0.000, 0.500, 0.813)  -0.01
Sr (0.500, 0.000, 0.187)  -0.01
Rh (0.500, 0.000, 0.726)  0.35
Rh (0.000, 0.500, 0.274)  0.36

## GdMgSnIr (PBE)

Data for a geometry-optimized GdMgSnIr structure.

Output
density = 10274 kg/m3
N(E_F) = 0.41 states/eV per cell
magnetic moment = 7.003 μB/f.u.
formation enthalpy at 0 K = -474 meV per atom
calculated total energy = -7.609 eV per atom

a = 4.828 Å, b = 4.828 Å, c = 4.828 Å
α = 60.00°, β = 60.00°, γ = 60.00°
Each line ends with the local moment (μB).
Fractional coordinates of all 4 atoms:
Gd (0.500, 0.500, 0.500)  7.02
Sn (0.000, 0.000, 0.000)  -0.02
Ir (0.250, 0.250, 0.250)  -0.07
Mg (0.750, 0.750, 0.750)  0.00

## KRb2TeW (PBE)

Data for a geometry-optimized KRb2TeW structure.

Output
density = 3039 kg/m3
N(E_F) = 0.00 states/eV per cell
magnetic moment = 5.000 μB/f.u.
uncorrected formation energy = 102 kJ/mol of atoms
calculated total energy = -2.772 eV per atom

a = 6.643 Å, b = 6.455 Å, c = 6.643 Å
α = 90.00°, β = 90.00°, γ = 90.00°
Each line ends with the local moment (μB).
Fractional coordinates of all 5 atoms:
Rb (0.000, 0.000, 0.500)  0.03
Rb (0.500, 0.000, 0.000)  0.04
Te (0.500, 0.500, 0.500)  -0.01
K (0.000, 0.500, 0.000)  0.03
W (0.000, 0.000, 0.000)  3.45